[1]
The following is a PBE calculation of Y3Hg3Pb4 after structural relaxation, from Alexandria.

Structure (extended XYZ):
```
20
Lattice="8.462 0.000 -2.992 -4.231 7.328 -2.992 0.000 0.000 8.975" Properties=species:S:1:pos:R:3 pbc="T T T"
Pb 0.000 0.000 7.141
Pb 4.617 3.664 -3.876
Pb 0.000 0.000 2.654
Pb -1.251 5.161 3.603
Pb 0.386 3.664 -2.380
Pb 2.980 2.167 2.107
Pb 0.864 5.831 0.611
Pb 5.095 1.497 -0.885
Hg 1.587 6.412 -2.244
Hg 4.760 4.580 2.244
Hg 5.817 0.916 5.235
Hg 0.529 2.748 3.740
Hg -2.115 5.496 0.748
Hg 2.115 1.832 -0.748
Y 2.644 0.916 5.235
Y 6.346 1.832 2.244
Y 3.702 4.580 -0.748
Y -0.529 2.748 0.748
Y -1.587 6.412 -2.244
Y 2.115 5.496 3.740
```

Computed properties:
**Energy relative to the elements**: -0.275 eV/atom
**Total magnetization**: 0.00 μB/cell
**Symmetry**: I-43d, No. 220

***

[2]
The following is a PBE calculation of CaScSi after structural relaxation, from Alexandria.

Structure (extended XYZ):
```
3
Lattice="3.542 0.000 0.000 -1.771 3.067 0.000 0.000 0.000 7.099" Properties=species:S:1:pos:R:3 pbc="T T T"
Ca 0.000 0.000 6.759
Sc 0.000 2.045 2.804
Si 1.771 1.022 4.635
```

Computed properties:
**E_form (uncorrected)**: -0.064 eV per atom
**Total magnetization**: 0.00 μB/cell
**Symmetry**: P3m1, No. 156

***

[3]
The following is a PBE calculation of RbTe2Au2 after structural relaxation, from Alexandria.

Structure (extended XYZ):
```
5
Lattice="-3.916 -1.769 -1.790 2.504 -3.064 -2.451 -1.080 -7.014 3.243" Properties=species:S:1:pos:R:3 pbc="T T T"
Au 0.359 -6.247 -0.664
Au -2.851 -5.599 -0.333
Te -1.685 -8.191 -0.323
Te -0.807 -3.655 -0.675
Rb 0.000 0.000 0.000
```

Computed properties:
**E_form (uncorrected)**: -0.318 eV per atom
**Energy above the most stable polymorph in this dataset**: 2.81 kJ per mole of atoms
**Total magnetization**: 0.00 μB/cell
**Symmetry**: I4/mmm, No. 139

***

[4]
The following is a PBE calculation of TiMnBe2I after structural relaxation, from Alexandria.

Structure (extended XYZ):
```
5
Lattice="-0.371 3.415 2.986 -3.101 -2.387 2.345 3.318 -1.838 2.515" Properties=species:S:1:pos:R:3 pbc="T T T"
Ti -0.077 -0.405 3.923
Mn -1.550 -1.194 1.173
Be -0.186 1.707 1.493
Be 1.659 -0.919 1.258
I 0.000 0.000 0.000
```

Computed properties:
**E_form (uncorrected)**: 1.868 eV per atom
**Total magnetization**: 1.19 μB/cell
**Symmetry**: P4/mmm, No. 123

***

[5]
The following is a PBE calculation of BaTaCu after structural relaxation, from Alexandria.

Structure (extended XYZ):
```
6
Lattice="-0.349 -3.417 0.012 0.549 -0.044 3.391 -12.944 -0.417 0.380" Properties=species:S:1:pos:R:3 pbc="T T T"
Cu -7.134 -1.714 2.315
Cu -11.547 -2.989 1.271
Ba -0.485 -0.650 2.959
Ba -4.905 -0.214 0.230
Ta -9.872 -1.429 2.761
Ta -8.810 -3.273 0.824
```

Computed properties:
**Energy above the most stable polymorph in this dataset**: 0.55 kJ per mole of atoms
**Energy relative to the elements**: 0.316 eV/atom
**Total magnetization**: 0.00 μB/cell
**Symmetry**: P-1, No. 2

***

[6]
The following is a PBE calculation of ZrRe2Tc after structural relaxation, from Alexandria.

Structure (extended XYZ):
```
4
Lattice="-3.346 -3.137 -2.635 4.568 -2.083 1.668 -0.932 -1.573 2.099" Properties=species:S:1:pos:R:3 pbc="T T T"
Re 0.000 0.000 0.000
Re 0.611 -2.610 -0.484
Tc -2.139 -2.355 -0.268
Zr 1.818 -1.828 1.883
```

Computed properties:
**Energy above the most stable polymorph in this dataset**: 8.32 kJ per mole of atoms
**Energy relative to the elements**: 0.020 eV/atom
**Total magnetization**: 0.00 μB/cell
**Symmetry**: C2/m, No. 12